1.
A geometry-optimized AlGaFe2 structure, computed with PBE.

Cell and atoms, written as CIF:
```
data_AlGaFe2
_space_group_name_H-M_alt 'P 4/m m m'
_space_group_IT_number 123
_space_group_name_Hall '-P 4 2'
_cell_length_a 4.0715
_cell_length_b 4.0715
_cell_length_c 2.8876
_cell_angle_alpha 90.00
_cell_angle_beta 90.00
_cell_angle_gamma 90.00
loop_
_atom_site_label
_atom_site_fract_x
_atom_site_fract_y
_atom_site_fract_z
_atom_site_occupancy
Al1 0.0000 0.0000 0.0000 1
Ga1 0.5000 0.5000 0.0000 1
Fe1 0.0000 0.5000 0.5000 1
```

Output
* total moment: 1.5 μB/f.u.
* formation energy: -198 meV per atom
* N(E_F): 4.6 states/eV per cell

=====

2.
A geometry-optimized Al8GaFe4 structure, computed with PBE.

Cell and atoms, written as CIF:
```
data_Al8GaFe4
_space_group_name_H-M_alt 'I 4/m m m'
_space_group_IT_number 139
_space_group_name_Hall '-I 4 2'
_cell_length_a 8.6123
_cell_length_b 8.6123
_cell_length_c 5.0588
_cell_angle_alpha 90.00
_cell_angle_beta 90.00
_cell_angle_gamma 90.00
loop_
_atom_site_label
_atom_site_fract_x
_atom_site_fract_y
_atom_site_fract_z
_atom_site_occupancy
Al1 0.0000 0.2237 0.0000 1
Al2 0.0000 0.3283 0.5000 1
Ga1 0.0000 0.0000 0.5000 1
Fe1 0.2500 0.2500 0.2500 1
```

Output
* total moment: 5.9 μB/f.u.
* formation energy: -199 meV per atom
* N(E_F): 15.5 states/eV per cell

=====

3.
A geometry-optimized AlGa2Fe2 structure, computed with PBE.

Cell and atoms, written as CIF:
```
data_AlGa2Fe2
_space_group_name_H-M_alt 'P 4/m b m'
_space_group_IT_number 127
_space_group_name_Hall '-P 4 2ab'
_cell_length_a 6.3131
_cell_length_b 6.3131
_cell_length_c 3.3605
_cell_angle_alpha 90.00
_cell_angle_beta 90.00
_cell_angle_gamma 90.00
loop_
_atom_site_label
_atom_site_fract_x
_atom_site_fract_y
_atom_site_fract_z
_atom_site_occupancy
Al1 0.0000 0.0000 0.0000 1
Ga1 0.1528 0.3472 0.5000 1
Fe1 0.1471 0.6471 0.0000 1
```

Output
* total moment: 2.3 μB/f.u.
* formation energy: -74 meV per atom
* N(E_F): 11.0 states/eV per cell

=====

4.
A geometry-optimized Al2GaFe4 structure, computed with PBE.

Cell and atoms, written as CIF:
```
data_Al2GaFe4
_space_group_name_H-M_alt 'I -4 2 d'
_space_group_IT_number 122
_space_group_name_Hall 'I -4 2bw'
_cell_length_a 7.1751
_cell_length_b 7.1751
_cell_length_c 7.2355
_cell_angle_alpha 90.00
_cell_angle_beta 90.00
_cell_angle_gamma 90.00
loop_
_atom_site_label
_atom_site_fract_x
_atom_site_fract_y
_atom_site_fract_z
_atom_site_occupancy
Al1 0.1208 0.7500 0.1250 1
Ga1 0.0000 0.0000 0.5000 1
Fe1 0.0855 0.6695 0.4615 1
```

Output
* total moment: 8.1 μB/f.u.
* formation energy: 19 meV per atom
* N(E_F): 25.9 states/eV per cell

=====

5.
A geometry-optimized AlGa2Fe structure, computed with PBE.

Cell and atoms, written as CIF:
```
data_AlGa2Fe
_space_group_name_H-M_alt 'P m m a'
_space_group_IT_number 51
_cell_length_a 5.1702
_cell_length_b 3.8732
_cell_length_c 5.9587
_cell_angle_alpha 90.00
_cell_angle_beta 90.00
_cell_angle_gamma 90.00
loop_
_space_group_symop_operation_xyz
'x,y,z'
'-x,-y,-z'
'-x+1/2,-y,z'
'x+1/2,y,-z'
'x+1/2,-y,-z'
'-x+1/2,y,z'
'-x,y,-z'
'x,-y,z'
loop_
_atom_site_label
_atom_site_fract_x
_atom_site_fract_y
_atom_site_fract_z
_atom_site_occupancy
Al1 0.0000 0.0000 0.0000 1
Ga1 0.2500 0.0000 0.4040 1
Ga2 0.2500 0.5000 0.7129 1
Fe1 0.2500 0.5000 0.1248 1
```

Output
* total moment: 0.0 μB/f.u.
* formation energy: -48 meV per atom
* N(E_F): 4.6 states/eV per cell

=====

6.
A geometry-optimized Al3GaFe structure, computed with PBE.

Cell and atoms, written as CIF:
```
data_Al3GaFe
_space_group_name_H-M_alt 'P m -3 m'
_space_group_IT_number 221
_space_group_name_Hall '-P 4 2 3'
_cell_length_a 4.5415
_cell_length_b 4.5415
_cell_length_c 4.5415
_cell_angle_alpha 90.00
_cell_angle_beta 90.00
_cell_angle_gamma 90.00
loop_
_atom_site_label
_atom_site_fract_x
_atom_site_fract_y
_atom_site_fract_z
_atom_site_occupancy
Al1 0.0000 0.0000 0.5000 1
Ga1 0.5000 0.5000 0.5000 1
Fe1 0.0000 0.0000 0.0000 1
```

Output
* total moment: 0.0 μB/f.u.
* formation energy: 66 meV per atom
* N(E_F): 0.9 states/eV per cell